Below is ZrCr2Pt after structural relaxation, with properties calculated at the PBE level.

Unit cell a=2.707 b=3.919 c=5.847 alpha=90.00 beta=90.00 gamma=90.00
Sites, in units of the cell vectors:
Cr 0.000 0.000 0.045
Cr 0.000 0.000 0.455
Pt 0.500 0.500 0.250
Zr 0.500 0.500 0.750

Summary:
For the mass density, the calculation gives 10.450 g cm⁻³. Its spin magnetization is 0.00 μB/f.u. Its formation energy is 0.14 eV per atom.

---

Below is Rb3Tm3TiTe8 after structural relaxation, with properties calculated at the PBE level.

Unit cell a=8.668 b=8.665 c=10.108 alpha=115.38 beta=90.00 gamma=120.02
Each line ends with the local moment (μB).
Sites, in units of the cell vectors:
Rb 0.000 0.000 0.000  0.00
Rb 0.000 0.500 0.000  0.00
Rb 0.500 0.500 0.000  0.00
Tm 0.500 0.000 0.500  0.00
Tm 0.500 0.500 0.500  0.00
Tm 0.000 0.500 0.500  0.00
Ti 0.000 0.000 0.500  0.09
Te 0.267 0.534 0.302  0.00
Te 0.733 0.466 0.698  0.00
Te 0.781 0.562 0.313  0.00
Te 0.219 0.438 0.687  0.00
Te 0.781 0.032 0.313  0.00
Te 0.219 0.968 0.687  0.00
Te 0.251 0.032 0.313  0.00
Te 0.749 0.968 0.687  0.00

Summary:
The energy relative to the elements, uncorrected is -1.186 eV per atom. For the mass density, the calculation gives 5.325 g cm⁻³. Its spin magnetization is 0.07 μB/f.u.

---

Below is K6TlZn after structural relaxation, with properties calculated at the PBE level.

Unit cell a=4.819 b=9.812 c=9.812 alpha=94.73 beta=90.00 gamma=90.00
Sites, in units of the cell vectors:
K 0.000 0.533 0.788
K 0.000 0.212 0.467
K 0.000 0.667 0.333
K 0.500 0.902 0.649
K 0.500 0.351 0.098
K 0.500 0.936 0.064
Tl 0.000 0.150 0.850
Zn 0.500 0.248 0.752

Summary:
For the mass density, the calculation gives 1.811 g cm⁻³. Its spin magnetization is 0.00 μB/f.u. Its formation energy is 0.01 eV per atom.

---

Below is Pm3Nd2Er7 after structural relaxation, with properties calculated at the PBE level.

Unit cell a=3.530 b=6.344 c=17.977 alpha=75.74 beta=90.00 gamma=90.00
Sites, in units of the cell vectors:
Pm 0.500 0.500 0.000
Pm 0.000 0.113 0.341
Pm 0.000 0.887 0.659
Nd 0.500 0.619 0.326
Nd 0.500 0.381 0.674
Er 0.500 0.246 0.500
Er 0.500 0.754 0.500
Er 0.000 0.564 0.163
Er 0.000 0.000 0.000
Er 0.000 0.436 0.837
Er 0.500 0.939 0.835
Er 0.500 0.061 0.165

Summary:
For the mass density, the calculation gives 8.062 g cm⁻³. Its spin magnetization is 0.00 μB/f.u. Its formation energy is 0.09 eV per atom.

---

Below is KSrAg2F8 after structural relaxation, with properties calculated at the PBE level.

Unit cell a=6.185 b=6.185 c=6.645 alpha=117.73 beta=117.73 gamma=90.00
Each line ends with the local moment (μB).
Sites, in units of the cell vectors:
K 0.750 0.250 0.500  0.00
Sr 0.000 0.000 0.000  0.01
Ag 0.500 0.500 0.000  0.44
Ag 0.250 0.750 0.500  0.00
F 0.670 0.822 0.034  0.09
F 0.365 0.212 0.034  0.09
F 0.579 0.704 0.528  0.00
F 0.949 0.824 0.528  0.00
F 0.176 0.421 0.472  0.00
F 0.296 0.051 0.472  0.00
F 0.178 0.635 0.966  0.09
F 0.788 0.330 0.966  0.09

Summary:
The energy relative to the elements, uncorrected is -2.076 eV per atom. For the mass density, the calculation gives 4.290 g cm⁻³. Its spin magnetization is 0.84 μB/f.u.

---

Below is SrNb2InGa after structural relaxation, with properties calculated at the PBE level.

Unit cell a=5.067 b=5.375 c=5.067 alpha=90.00 beta=90.00 gamma=90.00
Sites, in units of the cell vectors:
Sr 0.000 0.000 0.000
Nb 0.000 0.000 0.500
Nb 0.500 0.000 0.000
Ga 0.000 0.500 0.000
In 0.500 0.500 0.500

Summary:
For the mass density, the calculation gives 5.511 g cm⁻³. Its spin magnetization is 0.00 μB/f.u. Its formation energy is 2.02 eV per atom.

---

Below is BaScW2 after structural relaxation, with properties calculated at the PBE level.

Unit cell a=3.057 b=3.057 c=10.592 alpha=90.00 beta=90.00 gamma=111.64
Sites, in units of the cell vectors:
Ba 0.000 0.000 0.475
Sc 0.500 0.500 0.806
W 0.000 0.000 0.020
W 0.500 0.500 0.200

Summary:
For the mass density, the calculation gives 9.928 g cm⁻³. Its spin magnetization is 0.00 μB/f.u. As for the energy relative to the lowest polymorph listed for this composition: 96 kJ/mol of formula units. Its formation energy is 0.76 eV per atom.

---

Below is Tc2IrPtPb after structural relaxation, with properties calculated at the PBE level.

Unit cell a=5.028 b=4.890 c=5.028 alpha=90.00 beta=90.00 gamma=90.00
Each line ends with the local moment (μB).
Sites, in units of the cell vectors:
Pb 0.000 0.000 0.000  -0.07
Ir 0.500 0.500 0.500  1.45
Tc 0.000 0.000 0.500  2.60
Tc 0.500 0.000 0.000  2.26
Pt 0.000 0.500 0.000  0.19

Summary:
For the mass density, the calculation gives 10.616 g cm⁻³. Its spin magnetization is 6.89 μB/f.u. Its formation energy is 2.60 eV per atom.

---

Below is Zr2ScZn after structural relaxation, with properties calculated at the PBE level.

Unit cell a=4.566 b=4.566 c=8.718 alpha=105.18 beta=105.18 gamma=90.00
Sites, in units of the cell vectors:
Zr 0.864 0.864 0.229
Zr 0.136 0.136 0.771
Zr 0.500 0.000 0.500
Zr 0.000 0.500 0.500
Sc 0.362 0.362 0.224
Sc 0.638 0.638 0.776
Zn 0.249 0.751 0.000
Zn 0.751 0.249 0.000

Summary:
For the mass density, the calculation gives 5.760 g cm⁻³. Its spin magnetization is 0.00 μB/f.u. Its formation energy is -0.17 eV per atom.

---

Below is Cd2Bi2Pt after structural relaxation, with properties calculated at the PBE level.

Unit cell a=7.174 b=7.174 c=4.883 alpha=90.00 beta=90.00 gamma=90.00
Sites, in units of the cell vectors:
Bi 0.166 0.666 0.500
Bi 0.666 0.834 0.500
Bi 0.834 0.334 0.500
Bi 0.334 0.166 0.500
Pt 0.000 0.000 0.000
Pt 0.500 0.500 0.000
Cd 0.353 0.853 0.000
Cd 0.853 0.647 0.000
Cd 0.647 0.147 0.000
Cd 0.147 0.353 0.000

Summary:
For the mass density, the calculation gives 11.073 g cm⁻³. Its spin magnetization is 0.00 μB/f.u. As for the energy relative to the lowest polymorph listed for this composition: 113 kJ/mol of formula units. Its formation energy is 0.12 eV per atom.

---

Below is K2NdAuCl6 after structural relaxation, with properties calculated at the PBE level.

Unit cell a=7.713 b=7.713 c=7.713 alpha=60.00 beta=60.00 gamma=60.00
Sites, in units of the cell vectors:
K 0.750 0.750 0.750
K 0.250 0.250 0.250
Nd 0.000 0.000 0.000
Au 0.500 0.500 0.500
Cl 0.249 0.751 0.249
Cl 0.751 0.249 0.249
Cl 0.751 0.249 0.751
Cl 0.249 0.249 0.751
Cl 0.751 0.751 0.249
Cl 0.249 0.751 0.751

Summary:
The energy relative to the elements, uncorrected is -1.611 eV per atom. For the mass density, the calculation gives 3.235 g cm⁻³. Its spin magnetization is 0.00 μB/f.u.

---

Below is VTcNi14 after structural relaxation, with properties calculated at the PBE level.

Unit cell a=5.037 b=5.037 c=7.038 alpha=90.00 beta=90.00 gamma=90.00
Each line ends with the local moment (μB).
Sites, in units of the cell vectors:
V 0.375 0.375 0.500  -0.22
Tc 0.875 0.875 0.500  -0.06
Ni 0.875 0.875 0.000  0.51
Ni 0.375 0.375 0.000  0.30
Ni 0.875 0.375 0.500  0.05
Ni 0.875 0.375 0.000  0.36
Ni 0.375 0.875 0.500  0.05
Ni 0.375 0.875 0.000  0.36
Ni 0.624 0.126 0.250  0.14
Ni 0.624 0.126 0.750  0.14
Ni 0.126 0.624 0.250  0.14
Ni 0.126 0.624 0.750  0.14
Ni 0.624 0.624 0.250  0.14
Ni 0.624 0.624 0.750  0.14
Ni 0.126 0.126 0.250  0.14
Ni 0.126 0.126 0.750  0.14

Summary:
For the mass density, the calculation gives 9.028 g cm⁻³. Its spin magnetization is 2.32 μB/f.u. Its formation energy is -0.04 eV per atom.

---

Below is Li2B2H9N after structural relaxation, with properties calculated at the PBE level.

Unit cell a=7.429 b=9.242 c=13.909 alpha=90.00 beta=90.00 gamma=90.00
Sites, in units of the cell vectors:
Li 0.125 0.206 0.719
Li 0.875 0.706 0.781
Li 0.375 0.794 0.219
Li 0.625 0.294 0.281
Li 0.875 0.794 0.281
Li 0.125 0.294 0.219
Li 0.625 0.206 0.781
Li 0.375 0.706 0.719
Li 0.102 0.857 0.552
Li 0.898 0.357 0.948
Li 0.398 0.143 0.052
Li 0.602 0.643 0.448
Li 0.898 0.143 0.448
Li 0.102 0.643 0.052
Li 0.602 0.857 0.948
Li 0.398 0.357 0.552
B 0.119 0.880 0.728
B 0.881 0.380 0.772
B 0.381 0.120 0.228
B 0.619 0.620 0.272
B 0.881 0.120 0.272
B 0.119 0.620 0.228
B 0.619 0.880 0.772
B 0.381 0.380 0.728
B 0.327 0.658 0.536
B 0.673 0.158 0.964
B 0.173 0.342 0.036
B 0.827 0.842 0.464
B 0.673 0.342 0.464
B 0.327 0.842 0.036
B 0.827 0.658 0.964
B 0.173 0.158 0.536
H 0.216 0.014 0.840
H 0.784 0.514 0.660
H 0.284 0.986 0.340
H 0.716 0.486 0.160
H 0.784 0.986 0.160
H 0.216 0.486 0.340
H 0.716 0.014 0.660
H 0.284 0.514 0.840
H 0.998 0.017 0.832
H 0.002 0.517 0.668
H 0.502 0.983 0.332
H 0.498 0.483 0.168
H 0.002 0.983 0.168
H 0.998 0.483 0.332
H 0.498 0.017 0.668
H 0.502 0.517 0.832
H 0.135 0.764 0.773
H 0.865 0.264 0.727
H 0.365 0.236 0.273
H 0.635 0.736 0.227
H 0.865 0.236 0.227
H 0.135 0.736 0.273
H 0.635 0.764 0.727
H 0.365 0.264 0.773
H 0.981 0.869 0.679
H 0.019 0.369 0.821
H 0.519 0.131 0.179
H 0.481 0.631 0.321
H 0.019 0.131 0.321
H 0.981 0.631 0.179
H 0.481 0.869 0.821
H 0.519 0.369 0.679
H 0.249 0.887 0.672
H 0.751 0.387 0.828
H 0.251 0.113 0.172
H 0.749 0.613 0.328
H 0.751 0.113 0.328
H 0.249 0.613 0.172
H 0.749 0.887 0.828
H 0.251 0.387 0.672
H 0.329 0.549 0.485
H 0.671 0.049 0.015
H 0.171 0.451 0.985
H 0.829 0.951 0.515
H 0.671 0.451 0.515
H 0.329 0.951 0.985
H 0.829 0.549 0.015
H 0.171 0.049 0.485
H 0.314 0.763 0.482
H 0.686 0.263 0.018
H 0.186 0.237 0.982
H 0.814 0.737 0.518
H 0.686 0.237 0.518
H 0.314 0.737 0.982
H 0.814 0.763 0.018
H 0.186 0.263 0.482
H 0.469 0.669 0.581
H 0.531 0.169 0.919
H 0.031 0.331 0.081
H 0.969 0.831 0.419
H 0.531 0.331 0.419
H 0.469 0.831 0.081
H 0.969 0.669 0.919
H 0.031 0.169 0.581
H 0.199 0.650 0.591
H 0.801 0.150 0.909
H 0.301 0.350 0.091
H 0.699 0.850 0.409
H 0.801 0.350 0.409
H 0.199 0.850 0.091
H 0.699 0.650 0.909
H 0.301 0.150 0.591
N 0.113 0.016 0.791
N 0.887 0.516 0.709
N 0.387 0.984 0.291
N 0.613 0.484 0.209
N 0.887 0.984 0.209
N 0.113 0.484 0.291
N 0.613 0.016 0.709
N 0.387 0.516 0.791

Summary:
For the mass density, the calculation gives 0.815 g cm⁻³. Its spin magnetization is 0.00 μB/f.u. The energy comes out at -4.3723 eV/atom.

---

Below is KVCdFe2 after structural relaxation, with properties calculated at the PBE level.

Unit cell a=4.510 b=5.888 c=4.510 alpha=90.00 beta=90.00 gamma=90.00
Each line ends with the local moment (μB).
Sites, in units of the cell vectors:
K 0.000 0.500 0.000  -0.04
V 0.000 0.000 0.000  -2.08
Fe 0.000 0.000 0.500  2.61
Fe 0.500 0.000 0.000  2.14
Cd 0.500 0.500 0.500  -0.01

Summary:
For the mass density, the calculation gives 4.355 g cm⁻³. Its spin magnetization is 2.28 μB/f.u. As for the energy relative to the lowest polymorph listed for this composition: 152 kJ/mol of formula units. Its formation energy is 1.27 eV per atom.

---

Below is KLiHg after structural relaxation, with properties calculated at the PBE level.

Unit cell a=5.568 b=5.568 c=5.568 alpha=60.00 beta=60.00 gamma=60.00
Sites, in units of the cell vectors:
Hg 0.500 0.500 0.500
K 0.750 0.750 0.750
Li 0.000 0.000 0.000

Summary:
For the mass density, the calculation gives 3.354 g cm⁻³. Its spin magnetization is 0.00 μB/f.u. As for the energy relative to the lowest polymorph listed for this composition: 104 kJ/mol of formula units. Its formation energy is 0.16 eV per atom.

---

Below is AcTbLuAl after structural relaxation, with properties calculated at the PBE level.

Unit cell a=5.483 b=5.483 c=5.483 alpha=60.00 beta=60.00 gamma=60.00
Sites, in units of the cell vectors:
Ac 0.750 0.750 0.750
Lu 0.500 0.500 0.500
Tb 0.000 0.000 0.000
Al 0.250 0.250 0.250

Summary:
For the mass density, the calculation gives 8.374 g cm⁻³. Its spin magnetization is 0.03 μB/f.u. Its formation energy is 0.11 eV per atom.

---

Below is ScReOs2 after structural relaxation, with properties calculated at the PBE level.

Unit cell a=5.385 b=5.385 c=4.734 alpha=64.82 beta=64.82 gamma=30.54
Sites, in units of the cell vectors:
Os 0.979 0.979 0.944
Os 0.252 0.252 0.333
Re 0.521 0.521 0.412
Sc 0.747 0.747 0.810

Summary:
For the mass density, the calculation gives 16.222 g cm⁻³. Its spin magnetization is 0.00 μB/f.u. Its formation energy is -0.05 eV per atom.

---

Below is NdPaB after structural relaxation, with properties calculated at the PBE level.

Unit cell a=5.906 b=7.300 c=6.447 alpha=94.69 beta=90.00 gamma=90.00
Sites, in units of the cell vectors:
Nd 0.000 0.662 0.299
Nd 0.500 0.662 0.799
Nd 0.000 0.338 0.701
Nd 0.500 0.338 0.201
B 0.142 0.000 0.500
B 0.358 0.000 0.000
B 0.858 0.000 0.500
B 0.642 0.000 0.000
Pa 0.500 0.138 0.668
Pa 0.000 0.862 0.832
Pa 0.500 0.862 0.332
Pa 0.000 0.138 0.168

Summary:
For the mass density, the calculation gives 9.258 g cm⁻³. Its spin magnetization is 0.00 μB/f.u. Its formation energy is 0.06 eV per atom.

---

Below is CsMgGa2C after structural relaxation, with properties calculated at the PBE level.

Unit cell a=5.977 b=4.746 c=5.977 alpha=90.00 beta=90.00 gamma=90.00
Sites, in units of the cell vectors:
Cs 0.000 0.000 0.000
Mg 0.500 0.500 0.500
C 0.000 0.500 0.000
Ga 0.000 0.000 0.500
Ga 0.500 0.000 0.000

Summary:
For the mass density, the calculation gives 3.023 g cm⁻³. Its spin magnetization is 0.00 μB/f.u. Its formation energy is 2.00 eV per atom.

---

Below is LaScRh3 after structural relaxation, with properties calculated at the PBE level.

Unit cell a=4.744 b=4.744 c=4.744 alpha=90.00 beta=90.00 gamma=90.00
Sites, in units of the cell vectors:
Sc 0.000 0.000 0.000
Rh 0.000 0.500 0.000
Rh 0.000 0.000 0.500
Rh 0.500 0.000 0.000
La 0.500 0.500 0.500

Summary:
For the mass density, the calculation gives 7.662 g cm⁻³. Its spin magnetization is 0.00 μB/f.u. As for the energy relative to the lowest polymorph listed for this composition: 0 kJ/mol of formula units. Its formation energy is -0.16 eV per atom.